1.
Entry from Alexandria: crystalline Ce2DyIr at its relaxed geometry (PBE).

a b c (Å): 3.717 3.717 7.430
angles (deg): 90.00 90.00 90.00
Space group P4/mmm (No. 123)
Unique sites:
Ce: 0.000 0.000 0.193
Dy: 0.500 0.500 0.500
Ir: 0.500 0.500 0.000

Computed properties:
crystal system = tetragonal
polymorph energy (0 for the lowest one) = 149.4 meV per atom
formation energy from the elements = -0.2864 eV per atom
total DFT energy (no corrections) = -6.619 eV/atom

2.
Entry from Alexandria: crystalline Te2PN at its relaxed geometry (PBE).

a b c (Å): 6.592 6.592 6.592
angles (deg): 90.00 90.00 90.00
Space group Fm-3m (No. 225)
Unique sites:
Te: 0.250 0.250 0.250
P: 0.000 0.000 0.000
N: 0.000 0.000 0.500

Computed properties:
crystal system = cubic
polymorph energy (0 for the lowest one) = 442.3 meV per atom
formation energy from raw total energies = 1.320 eV/atom
total DFT energy (no corrections) = -3.685 eV/atom

3.
Entry from Alexandria: crystalline BaAlPb2 at its relaxed geometry (PBE).

a b c (Å): 3.707 5.324 6.566
angles (deg): 90.00 94.46 90.00
Space group P2/m (No. 10)
Unique sites:
Ba: 0.000 0.000 0.000
Al: 0.500 0.000 0.500
Pb: 0.378 0.500 0.724

Computed properties:
crystal system = monoclinic
formation energy from the elements = -0.0941 eV per atom
total DFT energy (no corrections) = -3.365 eV/atom

4.
Entry from Alexandria: crystalline LaAu3F at its relaxed geometry (PBE).

a b c (Å): 4.810 4.810 4.810
angles (deg): 90.00 90.00 90.00
Space group Pm-3m (No. 221)
Unique sites:
La: 0.000 0.000 0.000
Au: 0.000 0.500 0.500
F: 0.500 0.500 0.500

Computed properties:
crystal system = cubic
polymorph energy (0 for the lowest one) = 0.0 meV per atom
formation energy from raw total energies = -0.204 eV/atom
total DFT energy (no corrections) = -3.530 eV/atom

5.
Entry from Alexandria: crystalline NdErCo at its relaxed geometry (PBE).

a b c (Å): 3.9325 3.9325 6.1992
angles (deg): 90.00 90.00 120.00
Space group P3m1 (No. 156)
Unique sites:
Nd: 0.0000 0.0000 0.0000
Er: 0.6667 0.3333 0.5359
Co: 0.3333 0.6667 0.7585

Computed properties:
crystal system = trigonal
polymorph energy (0 for the lowest one) = 90.7 meV per atom
formation energy from the elements = -0.0209 eV per atom
total DFT energy (no corrections) = -5.500 eV/atom

6.
Entry from Alexandria: crystalline TbLuScPa at its relaxed geometry (PBE).

a b c (Å): 7.633 7.633 7.633
angles (deg): 90.00 90.00 90.00
Space group F-43m (No. 216)
Unique sites:
Tb: 0.000 0.000 0.000
Lu: 0.250 0.250 0.750
Sc: 0.000 0.000 0.500
Pa: 0.250 0.250 0.250

Computed properties:
crystal system = cubic
formation energy from the elements = 0.3020 eV per atom
total DFT energy (no corrections) = -5.943 eV/atom

Number 1: calculated volume 25.659 Å³ per atom. Number 2: calculated volume 17.906 Å³ per atom. Number 3: calculated volume 32.303 Å³ per atom. Number 4: calculated volume 22.260 Å³ per atom. Number 5: calculated volume 27.675 Å³ per atom. Number 6: calculated volume 27.794 Å³ per atom.